A plane-wave DFT calculation with PBE with a Hubbard U was carried out for a relaxed Cs2CaV3F12 crystal.

Properties
Space-group type: R-3m (166)
Uncorrected energy in eV/atom: -5.759
Calculated density in Mg/m³: 3.566
M_tot in μB per cell: 7.0
DOS at the Fermi energy in states/eV/cell: 4.54

Cell: 7.6899 7.6899 7.6899 Å, 59.75 59.75 59.75°
Last column: nearest neighbours and their distance in Å.
Positions (direct):
Cs 0.1202 0.1202 0.1202  6 F 3.20-3.42
Cs 0.8798 0.8798 0.8798  6 F 3.20-3.42
Ca 0.5000 0.5000 0.5000  6 F 2.28
V 0.0000 0.5000 0.5000  6 F 2.00-2.02
V 0.5000 0.0000 0.5000  6 F 2.00-2.02
V 0.5000 0.5000 0.0000  6 F 2.00-2.02
F 0.1432 0.5859 0.5859  1 V 2.00
F 0.1942 0.1942 0.5830  2 V 2.02
F 0.1942 0.5830 0.1942  2 V 2.02
F 0.4141 0.4141 0.8568  1 V 2.00
F 0.4141 0.8568 0.4141  1 V 2.00
F 0.4170 0.8058 0.8058  2 V 2.02
F 0.5830 0.1942 0.1942  2 V 2.02
F 0.5859 0.1432 0.5859  1 V 2.00
F 0.5859 0.5859 0.1432  1 V 2.00
F 0.8058 0.4170 0.8058  2 V 2.02
F 0.8058 0.8058 0.4170  2 V 2.02
F 0.8568 0.4141 0.4141  1 V 2.00